No. 1
# Tl2CrP | the Alexandria database | GGA-PBE | relaxed
data_Tl2CrP
_symmetry_space_group_name_H-M 'P 4 m m'
_symmetry_Int_Tables_number 99
_cell_length_a 3.2900
_cell_length_b 3.2900
_cell_length_c 8.4277
_cell_angle_alpha 90.00
_cell_angle_beta 90.00
_cell_angle_gamma 90.00
loop_
_symmetry_equiv_pos_as_xyz
'x,y,z'
'-y,x,z'
'-x,-y,z'
'y,-x,z'
'-x,y,z'
'y,x,z'
'x,-y,z'
'-y,-x,z'
loop_
_atom_site_label
_atom_site_fract_x
_atom_site_fract_y
_atom_site_fract_z
Tl1 0.0000 0.0000 0.0000
Tl2 0.5000 0.5000 0.3423
Cr1 0.0000 0.0000 0.6252
P1 0.5000 0.5000 0.7055
# Magnetic moment in μB per formula unit: 3.0
# Total DFT energy (no corrections) in eV for the cell shown: -19.43
# Energy relative to the lowest polymorph listed for this composition in meV per atom: 0
# Energy of formation in kJ per mole of atoms: 8.1

=====

No. 2
# TlCrP3 | the Alexandria database | GGA-PBE | relaxed
data_TlCrP3
_symmetry_space_group_name_H-M 'P m -3 m'
_symmetry_Int_Tables_number 221
_symmetry_space_group_name_Hall '-P 4 2 3'
_cell_length_a 4.5658
_cell_length_b 4.5658
_cell_length_c 4.5658
_cell_angle_alpha 90.00
_cell_angle_beta 90.00
_cell_angle_gamma 90.00
loop_
_atom_site_label
_atom_site_fract_x
_atom_site_fract_y
_atom_site_fract_z
Tl1 0.0000 0.0000 0.0000
Cr1 0.5000 0.5000 0.5000
P1 0.0000 0.5000 0.5000
# Magnetic moment in μB per formula unit: 0.0
# Total DFT energy (no corrections) in eV for the cell shown: -26.41
# Energy relative to the lowest polymorph listed for this composition in meV per atom: 0
# Energy of formation in kJ per mole of atoms: 34.9

=====

No. 3
# TlCr2P | the Alexandria database | GGA-PBE | relaxed
data_TlCr2P
_symmetry_space_group_name_H-M 'I m m m'
_symmetry_Int_Tables_number 71
_symmetry_space_group_name_Hall '-I 2 2'
_cell_length_a 3.4154
_cell_length_b 5.2171
_cell_length_c 7.6872
_cell_angle_alpha 90.00
_cell_angle_beta 90.00
_cell_angle_gamma 90.00
loop_
_atom_site_label
_atom_site_fract_x
_atom_site_fract_y
_atom_site_fract_z
Tl1 0.0000 0.0000 0.0000
Cr1 0.0000 0.5000 0.1978
P1 0.0000 0.0000 0.5000
# Magnetic moment in μB per formula unit: 5.3
# Total DFT energy (no corrections) in eV for the cell shown: -51.01
# Energy relative to the lowest polymorph listed for this composition in meV per atom: 248
# Energy of formation in kJ per mole of atoms: 36.6

=====

No. 4
# TlCr2P | the Alexandria database | GGA-PBE | relaxed
data_TlCr2P
_symmetry_space_group_name_H-M 'A m m 2'
_symmetry_Int_Tables_number 38
_cell_length_a 4.3034
_cell_length_b 3.2074
_cell_length_c 10.3075
_cell_angle_alpha 90.00
_cell_angle_beta 90.00
_cell_angle_gamma 90.00
loop_
_symmetry_equiv_pos_as_xyz
'x,y,z'
'-x,-y,z'
'-x,y,z'
'x,-y,z'
'x,y+1/2,z+1/2'
'-x,-y+1/2,z+1/2'
'-x,y+1/2,z+1/2'
'x,-y+1/2,z+1/2'
loop_
_atom_site_label
_atom_site_fract_x
_atom_site_fract_y
_atom_site_fract_z
Tl1 0.0000 0.0000 0.0000
Cr1 0.0000 0.0000 0.2660
Cr2 0.5000 0.0000 0.6686
P1 0.5000 0.0000 0.3403
# Magnetic moment in μB per formula unit: 0.9
# Total DFT energy (no corrections) in eV for the cell shown: -51.33
# Energy relative to the lowest polymorph listed for this composition in meV per atom: 208
# Energy of formation in kJ per mole of atoms: 32.8

=====

No. 5
# Tl2CrP | the Alexandria database | GGA-PBE | relaxed
data_Tl2CrP
_symmetry_space_group_name_H-M 'P 1 2/m 1'
_symmetry_Int_Tables_number 10
_cell_length_a 5.0312
_cell_length_b 3.9747
_cell_length_c 5.3261
_cell_angle_alpha 90.00
_cell_angle_beta 112.86
_cell_angle_gamma 90.00
loop_
_symmetry_equiv_pos_as_xyz
'x,y,z'
'-x,-y,-z'
'-x,y,-z'
'x,-y,z'
loop_
_atom_site_label
_atom_site_fract_x
_atom_site_fract_y
_atom_site_fract_z
Tl1 0.2207 0.0000 0.2745
Cr1 0.5000 0.5000 0.0000
P1 0.0000 0.5000 0.5000
# Magnetic moment in μB per formula unit: 4.5
# Total DFT energy (no corrections) in eV for the cell shown: -17.60
# Energy relative to the lowest polymorph listed for this composition in meV per atom: 458
# Energy of formation in kJ per mole of atoms: 52.3

=====

No. 6
# Tl3CrP | the Alexandria database | GGA-PBE | relaxed
data_Tl3CrP
_symmetry_space_group_name_H-M 'P m -3 m'
_symmetry_Int_Tables_number 221
_symmetry_space_group_name_Hall '-P 4 2 3'
_cell_length_a 5.4452
_cell_length_b 5.4452
_cell_length_c 5.4452
_cell_angle_alpha 90.00
_cell_angle_beta 90.00
_cell_angle_gamma 90.00
loop_
_atom_site_label
_atom_site_fract_x
_atom_site_fract_y
_atom_site_fract_z
Tl1 0.0000 0.0000 0.5000
Cr1 0.5000 0.5000 0.5000
P1 0.0000 0.0000 0.0000
# Magnetic moment in μB per formula unit: 5.0
# Total DFT energy (no corrections) in eV for the cell shown: -18.18
# Energy relative to the lowest polymorph listed for this composition in meV per atom: 0
# Energy of formation in kJ per mole of atoms: 76.3

=====

No. 7
# TlCr2P | the Alexandria database | GGA-PBE | relaxed
data_TlCr2P
_symmetry_space_group_name_H-M 'F m -3 m'
_symmetry_Int_Tables_number 225
_symmetry_space_group_name_Hall '-F 4 2 3'
_cell_length_a 6.1406
_cell_length_b 6.1406
_cell_length_c 6.1406
_cell_angle_alpha 90.00
_cell_angle_beta 90.00
_cell_angle_gamma 90.00
loop_
_atom_site_label
_atom_site_fract_x
_atom_site_fract_y
_atom_site_fract_z
Tl1 0.0000 0.0000 0.0000
Cr1 0.2500 0.2500 0.2500
P1 0.0000 0.0000 0.5000
# Magnetic moment in μB per formula unit: 0.0
# Total DFT energy (no corrections) in eV for the cell shown: -96.27
# Energy relative to the lowest polymorph listed for this composition in meV per atom: 607
# Energy of formation in kJ per mole of atoms: 71.3

=====

No. 8
# Tl2CrP | the Alexandria database | GGA-PBE | relaxed
data_Tl2CrP
_symmetry_space_group_name_H-M 'P 4/m m m'
_symmetry_Int_Tables_number 123
_symmetry_space_group_name_Hall '-P 4 2'
_cell_length_a 3.7832
_cell_length_b 3.7832
_cell_length_c 6.2516
_cell_angle_alpha 90.00
_cell_angle_beta 90.00
_cell_angle_gamma 90.00
loop_
_atom_site_label
_atom_site_fract_x
_atom_site_fract_y
_atom_site_fract_z
Tl1 0.0000 0.0000 0.2416
Cr1 0.5000 0.5000 0.5000
P1 0.5000 0.5000 0.0000
# Magnetic moment in μB per formula unit: 4.3
# Total DFT energy (no corrections) in eV for the cell shown: -17.30
# Energy relative to the lowest polymorph listed for this composition in meV per atom: 532
# Energy of formation in kJ per mole of atoms: 59.4

=====

Q: What is the formula in the fourth record?
A: TlCr2P